The following is a DFT calculation (PBE-GGA) of a relaxed structure of ScTe2PbO8.

Cell lengths 5.956, 5.956, 7.063 Å; angles 90.00, 90.00, 120.00 degrees
Atoms (fractional coordinates):
Sc (0.000, 0.000, 0.000)
Te (0.333, 0.667, 0.262)
Te (0.667, 0.333, 0.738)
Pb (0.000, 0.000, 0.500)
O (0.154, 0.309, 0.196)
O (0.154, 0.846, 0.196)
O (0.309, 0.154, 0.804)
O (0.333, 0.667, 0.521)
O (0.667, 0.333, 0.479)
O (0.691, 0.846, 0.196)
O (0.846, 0.154, 0.804)
O (0.846, 0.691, 0.804)

Properties
**N(E_F)**: 0.27 states/eV/atom
**Size of the total moment**: 0.0 μB/cell
**E_tot**: -6.01 eV per atom